# Ac3UTl3S8 | Alexandria | PBE | relaxed
# formation energy (no corrections)	-1.466	eV/atom
# N(E_F)	0.426	states/eV/atom
# M_tot	2.0	μB/f.u.
data_Ac3UTl3S8
_symmetry_space_group_name_H-M 'C 1 2/m 1'
_symmetry_Int_Tables_number 12
_cell_length_a 15.093
_cell_length_b 8.701
_cell_length_c 9.015
_cell_angle_alpha 90.00
_cell_angle_beta 123.96
_cell_angle_gamma 90.00
loop_
_symmetry_equiv_pos_as_xyz
'x,y,z'
'-x,-y,-z'
'-x,y,-z'
'x,-y,z'
'x+1/2,y+1/2,z'
'-x+1/2,-y+1/2,-z'
'-x+1/2,y+1/2,-z'
'x+1/2,-y+1/2,z'
loop_
_atom_site_label
_atom_site_type_symbol
_atom_site_fract_x
_atom_site_fract_y
_atom_site_fract_z
Ac1 Ac 0.000 0.000 0.000
Ac2 Ac 0.250 0.250 0.000
U1 U 0.000 0.500 0.000
Tl1 Tl 0.000 0.500 0.500
Tl2 Tl 0.250 0.250 0.500
S1 S 0.011 0.271 0.804
S2 S 0.218 0.500 0.196
S3 S 0.237 0.000 0.211